SrVSb2Pd | PBE | optimized geometry

N(E_F): 5.5 states/eV/cell
size of the total moment: 0.2 μB/cell
SG: P4/mmm, No. 123
VASP energy: -21.43 eV/cell

Cell: 5.239 5.239 5.387 Å, 90.00 90.00 90.00°
Positions (direct):
Sr: 0.000 0.000 0.000
V: 0.500 0.500 0.000
Sb: 0.000 0.500 0.500
Sb: 0.500 0.000 0.500
Pd: 0.000 0.000 0.500